The following is a PBE calculation of a geometry-optimized NbNiBAu structure, from OQMD via LeMat-Bulk.

POSCAR file:
```
NbNiBAu
1.0
0.0000 2.9726 2.9726
2.9726 0.0000 2.9726
2.9726 2.9726 0.0000
Au B Ni Nb
1 1 1 1
Cartesian
1.4863 1.4863 1.4863
0.0000 0.0000 0.0000
2.9726 2.9726 2.9726
4.4589 4.4589 4.4589
```

Excess energy over the best structure of this formula in the dataset in eV per formula unit: 0.00
SG: F-43m

=====

The following is a PBE calculation of a geometry-optimized Nd3InBrCl2 structure, from OQMD via LeMat-Bulk.

POSCAR file:
```
Nd3InBrCl2
1.0
-6.0060 0.4952 -0.5812
-0.0534 -4.8694 -3.5974
-0.7519 -3.5179 4.7730
Nd Br In Cl
3 1 1 2
Cartesian
-3.3790 -1.5114 2.0959
0.0000 0.0000 0.0000
-0.4026 -4.1937 0.5878
-3.4056 -3.9461 0.2972
-0.3760 -1.7590 2.3865
-3.0030 0.2476 -0.2906
-0.0267 -2.4347 -1.7987
```

SG: P4/mmm
Final energy in eV per cell: -31.75

=====

The following is a PBE calculation of a geometry-optimized TaInFePd structure, from OQMD via LeMat-Bulk.

POSCAR file:
```
TaInFePd
1.0
0.0000 3.2231 3.2231
3.2231 0.0000 3.2231
3.2231 3.2231 0.0000
Ta In Pd Fe
1 1 1 1
Cartesian
1.6115 1.6115 1.6115
0.0000 0.0000 0.0000
3.2231 3.2231 3.2231
4.8346 4.8346 4.8346
```

Excess energy over the best structure of this formula in the dataset in eV per formula unit: 1.19
SG: F-43m

=====

The following is a PBE calculation of a geometry-optimized BeMoAs2 structure, from OQMD via LeMat-Bulk.

POSCAR file:
```
BeMoAs2
1.0
2.6612 2.7324 2.2026
-1.6410 3.6232 1.8917
-0.2618 0.2672 4.3885
As Mo Be
2 1 1
Cartesian
0.1896 1.6557 2.1207
0.0000 0.0000 0.0000
0.3792 3.3114 4.2414
0.5687 4.9671 6.3621
```

SG: F-43m
Final energy in eV per cell: -21.25

=====

The following is a PBE calculation of a geometry-optimized BaCdTeO structure, from OQMD via LeMat-Bulk.

POSCAR file:
```
BaCdTeO
1.0
6.9166 0.0000 0.0000
0.0000 4.5079 0.0000
0.0000 0.0000 15.0730
Te Cd O Ba
4 4 4 4
Cartesian
5.2310 3.3809 1.2748
1.7727 3.3809 6.2617
5.1439 1.1270 8.8113
1.6856 1.1270 13.7982
2.4474 3.3809 12.1974
4.4692 1.1270 2.8756
5.9056 3.3809 10.4121
1.0109 1.1270 4.6609
2.2119 1.1270 2.8194
5.6702 1.1270 4.7171
4.7046 3.3809 12.2535
1.2463 3.3809 10.3559
5.2231 3.3809 5.9043
1.7648 3.3809 1.6322
1.6935 1.1270 9.1687
5.1518 1.1270 13.4407
```

SG: Pnma
Final energy in eV per cell: -67.46

=====

The following is a PBE calculation of a geometry-optimized Gd2DyTmZn2 structure, from OQMD via LeMat-Bulk.

POSCAR file:
```
Gd2DyTmZn2
1.0
-1.4012 3.8523 -3.2657
4.0207 5.5458 4.8169
6.5815 4.5258 2.5149
Zn Tm Gd Dy
2 1 2 1
Cartesian
5.3791 7.7017 2.5716
4.5354 4.3085 3.1364
1.6405 4.1501 -0.0139
0.8549 0.8121 0.5912
9.0474 11.1864 5.1083
8.2473 7.8346 5.7033
```

SG: Amm2
ΔE_f in eV per atom: -0.23